[1]
A relaxed structure of Pu6GePt2. Source: Alexandria via LeMat-Bulk, functional PBE.

Geometry as CIF:
```
data_Pu6GePt2
_chemical_formula_sum 'Pu12 Ge2 Pt4'
_cell_length_a 8.047
_cell_length_b 6.623
_cell_length_c 6.992
_cell_angle_alpha 90.00
_cell_angle_beta 88.98
_cell_angle_gamma 90.00
_symmetry_space_group_name_H-M 'P 1'
_symmetry_Int_Tables_number 1
loop_
_symmetry_equiv_pos_as_xyz
'x,y,z'
loop_
_atom_site_label
_atom_site_fract_x
_atom_site_fract_y
_atom_site_fract_z
_atom_site_occupancy
Pu1 0.766 0.902 0.191 1
Pu2 0.717 0.718 0.492 1
Pu3 0.922 0.718 0.906 1
Pu4 0.578 0.218 0.594 1
Pu5 0.783 0.218 0.008 1
Pu6 0.734 0.402 0.309 1
Pu7 0.234 0.098 0.809 1
Pu8 0.283 0.282 0.508 1
Pu9 0.078 0.282 0.094 1
Pu10 0.422 0.782 0.406 1
Pu11 0.217 0.782 0.992 1
Pu12 0.266 0.598 0.691 1
Ge1 0.500 0.500 0.000 1
Ge2 0.000 0.000 0.500 1
Pt1 0.929 0.376 0.664 1
Pt2 0.571 0.876 0.836 1
Pt3 0.429 0.124 0.164 1
Pt4 0.071 0.624 0.336 1
```

Values from the calculation:
* mass density: 17.2 g/cm3
* crystal system: monoclinic

[2]
A relaxed structure of ScCd2. Source: Alexandria via LeMat-Bulk, functional PBE.

Geometry as CIF:
```
data_ScCd2
_chemical_formula_sum 'Sc1 Cd2'
_cell_length_a 5.320
_cell_length_b 5.320
_cell_length_c 5.320
_cell_angle_alpha 145.59
_cell_angle_beta 128.45
_cell_angle_gamma 63.46
_symmetry_space_group_name_H-M 'P 1'
_symmetry_Int_Tables_number 1
loop_
_symmetry_equiv_pos_as_xyz
'x,y,z'
loop_
_atom_site_label
_atom_site_fract_x
_atom_site_fract_y
_atom_site_fract_z
_atom_site_occupancy
Sc1 0.000 0.000 0.000 1
Cd1 0.335 0.335 0.000 1
Cd2 0.665 0.665 0.000 1
```

Values from the calculation:
* mass density: 6.8 g/cm3
* crystal system: orthorhombic

Number 1: formation energy -0.25 eV/atom, energy -209.93 eV/cell, D(E_F) 43.49 states/eV per cell. Number 2: formation energy -0.13 eV/atom, energy -8.54 eV/cell, D(E_F) 2.52 states/eV per cell.